1.
VASP calculation (PBE) on a relaxed LiCdBr2 crystal. Values from VASP.

Computed properties:
- E: -2.201 eV per atom
- Symmetry: No. 225
- Formation energy without anion corrections: -0.657 eV/atom
- Crystal system: cubic
- Total moment: 0.0 μB/cell

Quantum ESPRESSO input file:
```
&SYSTEM
  ibrav = 0, nat = 4, ntyp = 3
/
ATOMIC_SPECIES
Li 6.94 Li.upf
Cd 112.41 Cd.upf
Br 79.90 Br.upf
CELL_PARAMETERS angstrom
0.000 3.701 3.701
3.701 0.000 3.701
3.701 3.701 0.000
ATOMIC_POSITIONS crystal
Li 0.000 0.000 0.000
Cd 0.500 0.500 0.500
Br 0.250 0.250 0.250
Br 0.750 0.750 0.750
```

2.
VASP calculation (PBE) on a relaxed Ni5Au crystal. Values from VASP.

Computed properties:
- E: -5.199 eV per atom
- Symmetry: No. 216
- Crystal system: cubic
- Total moment: 1.0 μB/cell

Quantum ESPRESSO input file:
```
&SYSTEM
  ibrav = 0, nat = 6, ntyp = 2
/
ATOMIC_SPECIES
Ni 58.69 Ni.upf
Au 196.97 Au.upf
CELL_PARAMETERS angstrom
0.000 3.324 3.324
3.324 0.000 3.324
3.324 3.324 0.000
ATOMIC_POSITIONS crystal
Ni 0.000 0.000 0.000
Ni 0.375 0.375 0.375
Ni 0.375 0.375 0.876
Ni 0.375 0.876 0.375
Ni 0.876 0.375 0.375
Au 0.750 0.750 0.750
```

3.
VASP calculation (PBE) on a relaxed Ag3GeI crystal. Values from VASP.

Computed properties:
- E: -2.506 eV per atom
- Symmetry: No. 221
- Formation energy without anion corrections: 0.438 eV/atom
- Crystal system: cubic
- Total moment: 0.0 μB/cell

Quantum ESPRESSO input file:
```
&SYSTEM
  ibrav = 0, nat = 5, ntyp = 3
/
ATOMIC_SPECIES
Ag 107.87 Ag.upf
Ge 72.64 Ge.upf
I 126.90 I.upf
CELL_PARAMETERS angstrom
5.060 0.000 0.000
0.000 5.060 0.000
0.000 0.000 5.060
ATOMIC_POSITIONS crystal
Ag 0.000 0.000 0.500
Ag 0.000 0.500 0.000
Ag 0.500 0.000 0.000
Ge 0.000 0.000 0.000
I 0.500 0.500 0.500
```

4.
VASP calculation (PBE) on a relaxed LaGa4Ni4 crystal. Values from VASP.

Computed properties:
- E: -4.811 eV per atom
- Symmetry: No. 87
- Crystal system: tetragonal
- Total moment: 0.0 μB/cell

Quantum ESPRESSO input file:
```
&SYSTEM
  ibrav = 0, nat = 9, ntyp = 3
/
ATOMIC_SPECIES
La 138.91 La.upf
Ga 69.72 Ga.upf
Ni 58.69 Ni.upf
CELL_PARAMETERS angstrom
-4.113 4.113 2.254
4.113 -4.113 2.254
4.113 4.113 -2.254
ATOMIC_POSITIONS crystal
La 0.000 0.000 0.000
Ga 0.120 0.605 0.724
Ga 0.395 0.120 0.515
Ga 0.605 0.880 0.485
Ga 0.880 0.395 0.276
Ni 0.186 0.312 0.497
Ni 0.312 0.814 0.126
Ni 0.688 0.186 0.874
Ni 0.814 0.688 0.503
```

5.
VASP calculation (PBE) on a relaxed Sc3PSe2 crystal. Values from VASP.

Computed properties:
- E: -6.870 eV per atom
- Symmetry: No. 12
- Formation energy without anion corrections: -1.641 eV/atom
- Crystal system: monoclinic
- Total moment: 0.0 μB/cell

Quantum ESPRESSO input file:
```
&SYSTEM
  ibrav = 0, nat = 12, ntyp = 3
/
ATOMIC_SPECIES
Sc 44.96 Sc.upf
P 30.97 P.upf
Se 78.96 Se.upf
CELL_PARAMETERS angstrom
3.311 -5.732 0.000
3.311 5.732 0.000
-2.216 0.000 6.324
ATOMIC_POSITIONS crystal
Sc 0.073 0.423 0.771
Sc 0.226 0.226 0.229
Sc 0.423 0.073 0.771
Sc 0.577 0.927 0.229
Sc 0.774 0.774 0.771
Sc 0.927 0.577 0.229
P 0.167 0.833 0.000
P 0.833 0.167 0.000
Se 0.000 0.000 0.500
Se 0.337 0.663 0.500
Se 0.500 0.500 0.000
Se 0.663 0.337 0.500
```

6.
VASP calculation (PBE) on a relaxed Ba2GaSnO crystal. Values from VASP.

Computed properties:
- E: -4.398 eV per atom
- Symmetry: No. 11
- Formation energy without anion corrections: -1.231 eV/atom
- Crystal system: monoclinic
- Total moment: 0.0 μB/cell

Quantum ESPRESSO input file:
```
&SYSTEM
  ibrav = 0, nat = 10, ntyp = 4
/
ATOMIC_SPECIES
Ba 137.33 Ba.upf
Ga 69.72 Ga.upf
Sn 118.71 Sn.upf
O 16.00 O.upf
CELL_PARAMETERS angstrom
6.963 0.000 0.000
0.000 4.636 0.000
-3.275 0.000 9.828
ATOMIC_POSITIONS crystal
Ba 0.210 0.250 0.433
Ba 0.246 0.750 0.034
Ba 0.754 0.250 0.966
Ba 0.790 0.750 0.567
Ga 0.167 0.250 0.751
Ga 0.833 0.750 0.249
Sn 0.370 0.750 0.709
Sn 0.630 0.250 0.291
O 0.096 0.250 0.914
O 0.904 0.750 0.086
```

The highest E belongs to which entry? LiCdBr2